Record 1
First-principles (PBE) data for an optimized crystal structure of Na3CuTc, as listed in the Alexandria database.

## Properties
Its total moment is 0.619 μB per atom. For the uncorrected energy, the calculation gives -11.15 eV for the cell shown. The value obtained for the formation enthalpy at 0 K is 1453 meV per atom.

a b c (Å): 5.7683 5.7683 5.7683
angles (deg): 90.00 90.00 90.00
With the nearest neighbours (Å) after each atom.
Sites, in units of the cell vectors:
Na 0.0000 0.0000 0.5000  2 Tc 2.88
Na 0.0000 0.5000 0.0000  2 Tc 2.88
Na 0.5000 0.0000 0.0000  2 Tc 2.88
Cu 0.5000 0.5000 0.5000  12 Na 4.08
Tc 0.0000 0.0000 0.0000  6 Na 2.88



Record 2
First-principles (PBE) data for an optimized crystal structure of NaCuTc2, as listed in the Alexandria database.

## Properties
Its total moment is 0.000 μB per atom. For the uncorrected energy, the calculation gives -45.01 eV for the cell shown. The value obtained for the formation enthalpy at 0 K is 911 meV per atom.

a b c (Å): 10.3994 10.3994 10.3994
angles (deg): 160.13 160.13 28.25
With the nearest neighbours (Å) after each atom.
Sites, in units of the cell vectors:
Na 0.0000 0.0000 0.0000  4 Cu 2.54, 4 Tc 2.83
Na 0.7500 0.2500 0.5000  4 Cu 2.54, 4 Tc 2.83
Cu 0.2500 0.7500 0.5000  4 Na 2.54, 4 Tc 2.82
Cu 0.5000 0.5000 0.0000  4 Na 2.54, 4 Tc 2.82
Tc 0.1306 0.1250 0.5056  4 Tc 2.51-2.57
Tc 0.3750 0.8694 0.9944  4 Tc 2.51-2.57
Tc 0.6194 0.6250 0.4944  4 Tc 2.51-2.57
Tc 0.8750 0.3806 0.0056  4 Tc 2.51-2.57



Record 3
First-principles (PBE) data for an optimized crystal structure of Na3CuTc, as listed in the Alexandria database.

## Properties
Its total moment is 0.679 μB per atom. For the uncorrected energy, the calculation gives -12.40 eV for the cell shown. The value obtained for the formation enthalpy at 0 K is 1204 meV per atom.

a b c (Å): 5.2698 5.2698 5.2698
angles (deg): 90.00 90.00 90.00
With the nearest neighbours (Å) after each atom.
Sites, in units of the cell vectors:
Na 0.0000 0.0000 0.5000  2 Cu 2.63
Na 0.0000 0.5000 0.0000  2 Cu 2.63
Na 0.5000 0.0000 0.0000  2 Cu 2.63
Cu 0.0000 0.0000 0.0000  6 Na 2.63
Tc 0.5000 0.5000 0.5000  12 Na 3.73



Record 4
First-principles (PBE) data for an optimized crystal structure of NaCuTc2, as listed in the Alexandria database.

## Properties
Its total moment is 0.474 μB per atom. For the uncorrected energy, the calculation gives -21.41 eV for the cell shown. The value obtained for the formation enthalpy at 0 K is 1185 meV per atom.

a b c (Å): 4.3769 4.3769 4.3769
angles (deg): 60.00 60.00 60.00
With the nearest neighbours (Å) after each atom.
Sites, in units of the cell vectors:
Na 0.0000 0.0000 0.0000  8 Tc 2.68
Cu 0.5000 0.5000 0.5000  8 Tc 2.68
Tc 0.2500 0.2500 0.2500  4 Na 2.68, 4 Cu 2.68
Tc 0.7500 0.7500 0.7500  4 Na 2.68, 4 Cu 2.68



Record 5
First-principles (PBE) data for an optimized crystal structure of NaZnCuTc2, as listed in the Alexandria database.

## Properties
Its total moment is 0.978 μB per atom. For the uncorrected energy, the calculation gives -20.21 eV for the cell shown. The value obtained for the formation enthalpy at 0 K is 1442 meV per atom.

a b c (Å): 4.6506 4.6506 4.7149
angles (deg): 90.00 90.00 90.00
With the nearest neighbours (Å) after each atom.
Sites, in units of the cell vectors:
Na 0.0000 0.0000 0.0000  2 Cu 2.36
Zn 0.5000 0.5000 0.0000  4 Na 3.29, 8 Tc 3.31
Cu 0.0000 0.0000 0.5000  4 Tc 2.33, 2 Na 2.36
Tc 0.0000 0.5000 0.5000  2 Cu 2.33
Tc 0.5000 0.0000 0.5000  2 Cu 2.33



Record 6
First-principles (PBE) data for an optimized crystal structure of NaZnCuTc2, as listed in the Alexandria database.

## Properties
Its total moment is 1.002 μB per atom. For the uncorrected energy, the calculation gives -20.88 eV for the cell shown. The value obtained for the formation enthalpy at 0 K is 1308 meV per atom.

a b c (Å): 4.7049 4.7049 4.5688
angles (deg): 90.00 90.00 90.00
With the nearest neighbours (Å) after each atom.
Sites, in units of the cell vectors:
Na 0.0000 0.0000 0.0000  8 Tc 3.28, 4 Zn 3.33
Zn 0.5000 0.5000 0.0000  2 Cu 2.28
Cu 0.5000 0.5000 0.5000  2 Zn 2.28, 4 Tc 2.35
Tc 0.0000 0.5000 0.5000  2 Cu 2.35
Tc 0.5000 0.0000 0.5000  2 Cu 2.35



Record 7
First-principles (PBE) data for an optimized crystal structure of NaZrCuTc2, as listed in the Alexandria database.

## Properties
Its total moment is 0.546 μB per atom. For the uncorrected energy, the calculation gives -26.46 eV for the cell shown. The value obtained for the formation enthalpy at 0 K is 1647 meV per atom.

a b c (Å): 4.6439 4.6439 4.1897
angles (deg): 90.00 90.00 90.00
With the nearest neighbours (Å) after each atom.
Sites, in units of the cell vectors:
Na 0.0000 0.0000 0.0000  2 Cu 2.09, 4 Tc 2.32
Zr 0.5000 0.5000 0.5000  8 Tc 3.13, 4 Cu 3.28
Cu 0.0000 0.0000 0.5000  2 Na 2.09
Tc 0.0000 0.5000 0.0000  2 Na 2.32
Tc 0.5000 0.0000 0.0000  2 Na 2.32



Record 8
First-principles (PBE) data for an optimized crystal structure of NaCu5Te4, as listed in the Alexandria database.

## Properties
Its total moment is 0.000 μB per atom. For the uncorrected energy, the calculation gives -70.29 eV for the cell shown. The formation energy from raw total energies comes out at -7.5 kJ per mole of atoms.

a b c (Å): 8.5292 9.4541 5.4979
angles (deg): 90.00 90.00 90.00
With the nearest neighbours (Å) after each atom.
Sites, in units of the cell vectors:
Na 0.2500 0.2500 0.0068  2 Te 2.93
Na 0.7500 0.7500 0.9932  2 Te 2.93
Cu 0.0176 0.5060 0.2580  4 Te 2.63-2.76, 2 Cu 2.68-2.86
Cu 0.0176 0.9940 0.2580  4 Te 2.63-2.76, 2 Cu 2.68-2.86
Cu 0.2500 0.7500 0.3039  4 Te 2.61-2.62
Cu 0.4824 0.5060 0.2580  4 Te 2.63-2.76, 2 Cu 2.68-2.86
Cu 0.4824 0.9940 0.2580  4 Te 2.63-2.76, 2 Cu 2.68-2.86
Cu 0.5176 0.0060 0.7420  4 Te 2.63-2.76, 2 Cu 2.68-2.86
Cu 0.5176 0.4940 0.7420  4 Te 2.63-2.76, 2 Cu 2.68-2.86
Cu 0.7500 0.2500 0.6961  4 Te 2.61-2.62
Cu 0.9824 0.0060 0.7420  4 Te 2.63-2.76, 2 Cu 2.68-2.86
Cu 0.9824 0.4940 0.7420  4 Te 2.63-2.76, 2 Cu 2.68-2.86
Te 0.0288 0.2500 0.5004  5 Cu 2.61-2.76
Te 0.2500 0.5589 0.9584  5 Cu 2.62-2.65, 1 Na 2.93
Te 0.2500 0.9411 0.9584  5 Cu 2.62-2.65, 1 Na 2.93
Te 0.4712 0.2500 0.5004  5 Cu 2.61-2.76
Te 0.5288 0.7500 0.4996  5 Cu 2.61-2.76
Te 0.7500 0.0589 0.0416  5 Cu 2.62-2.65, 1 Na 2.93
Te 0.7500 0.4411 0.0416  5 Cu 2.62-2.65, 1 Na 2.93
Te 0.9712 0.7500 0.4996  5 Cu 2.61-2.76



Record 9
First-principles (PBE) data for an optimized crystal structure of Na2CuTe2, as listed in the Alexandria database.

## Properties
Its total moment is 0.000 μB per atom. For the uncorrected energy, the calculation gives -30.21 eV for the cell shown. The formation energy from raw total energies comes out at -40.3 kJ per mole of atoms.

a b c (Å): 7.4824 7.4824 4.7674
angles (deg): 90.00 90.00 90.00
With the nearest neighbours (Å) after each atom.
Sites, in units of the cell vectors:
Na 0.1459 0.3541 0.0000  6 Te 3.06-3.38, 1 Na 3.09
Na 0.3541 0.8541 0.0000  6 Te 3.06-3.38, 1 Na 3.09
Na 0.6459 0.1459 0.0000  6 Te 3.06-3.38, 1 Na 3.09
Na 0.8541 0.6459 0.0000  6 Te 3.06-3.38, 1 Na 3.09
Cu 0.0000 0.0000 0.5000  4 Te 2.77
Cu 0.5000 0.5000 0.5000  4 Te 2.77
Te 0.1726 0.6726 0.5000  2 Cu 2.77, 2 Na 3.06
Te 0.3274 0.1726 0.5000  2 Cu 2.77, 2 Na 3.06
Te 0.6726 0.8274 0.5000  2 Cu 2.77, 2 Na 3.06
Te 0.8274 0.3274 0.5000  2 Cu 2.77, 2 Na 3.06



Record 10
First-principles (PBE) data for an optimized crystal structure of NaCu2Te2, as listed in the Alexandria database.

## Properties
Its total moment is 0.000 μB per atom. For the uncorrected energy, the calculation gives -16.30 eV for the cell shown. The formation energy from raw total energies comes out at -9.7 kJ per mole of atoms.

a b c (Å): 6.0098 6.0098 6.0098
angles (deg): 128.37 128.37 76.02
With the nearest neighbours (Å) after each atom.
Sites, in units of the cell vectors:
Na 0.0000 0.0000 0.0000  2 Cu 2.95
Cu 0.3113 0.3113 0.0000  4 Te 2.68, 1 Na 2.95
Cu 0.6887 0.6887 0.0000  4 Te 2.68, 1 Na 2.95
Te 0.2500 0.7500 0.5000  4 Cu 2.68
Te 0.7500 0.2500 0.5000  4 Cu 2.68



Record 11
First-principles (PBE) data for an optimized crystal structure of Na2CuTe2, as listed in the Alexandria database.

## Properties
Its total moment is 0.437 μB per atom. For the uncorrected energy, the calculation gives -10.79 eV for the cell shown. The formation energy from raw total energies comes out at 43.0 kJ per mole of atoms.

a b c (Å): 9.9065 9.9065 14.3694
angles (deg): 90.00 90.00 90.00
With the nearest neighbours (Å) after each atom.
Sites, in units of the cell vectors:
Na 0.0000 0.0000 0.1374  1 Te 2.84
Na 0.0000 0.0000 0.8626  1 Te 2.84
Cu 0.0000 0.0000 0.5000  2 Te 2.37
Te 0.0000 0.0000 0.3351  1 Cu 2.37
Te 0.0000 0.0000 0.6649  1 Cu 2.37



Record 12
First-principles (PBE) data for an optimized crystal structure of NaCu2Te2, as listed in the Alexandria database.

## Properties
Its total moment is 0.000 μB per atom. For the uncorrected energy, the calculation gives -17.41 eV for the cell shown. The formation energy from raw total energies comes out at -31.2 kJ per mole of atoms.

a b c (Å): 8.0270 8.0270 8.0270
angles (deg): 151.26 151.26 41.09
With the nearest neighbours (Å) after each atom.
Sites, in units of the cell vectors:
Na 0.0000 0.0000 0.0000  8 Te 3.47
Cu 0.2500 0.7500 0.5000  4 Te 2.64, 4 Cu 2.82
Cu 0.7500 0.2500 0.5000  4 Te 2.64, 4 Cu 2.82
Te 0.3649 0.3649 0.0000  4 Cu 2.64
Te 0.6351 0.6351 0.0000  4 Cu 2.64